Record 1
# HfMgSiAg2

A relaxed HfMgSiAg2 crystal (GGA-PBE, Alexandria).

Results
- spin magnetization (μB/atom) = 0.0000
- formation energy (no corrections) (eV/atom) = 0.32

Lattice parameters (Å, degrees): 4.7434 4.7434 4.9866 90.00 90.00 90.00
Space group P4/mmm (No. 123)
Symmetry-distinct sites (fractional):
Hf 0.0000 0.0000 0.0000 x1
Mg 0.5000 0.5000 0.0000 x1
Si 0.0000 0.0000 0.5000 x1
Ag 0.0000 0.5000 0.5000 x2

***

Record 2
# Ta3NbPt

A relaxed Ta3NbPt crystal (GGA-PBE, Alexandria).

Results
- spin magnetization (μB/atom) = 0.0000
- excess energy over the best structure of this formula in the dataset (eV/f.u.) = 0.00
- energy relative to the elements (eV per atom) = -0.2980

Lattice parameters (Å, degrees): 7.1698 3.3893 7.2500 90.00 90.53 90.00
Space group P2_1/m (No. 11)
Symmetry-distinct sites (fractional):
Ta 0.1490 0.2500 0.0475 x2
Ta 0.2485 0.7500 0.7401 x2
Ta 0.3463 0.2500 0.4467 x2
Nb 0.4503 0.7500 0.1519 x2
Pt 0.0513 0.7500 0.3374 x2

***

Record 3
# Er2Pd5Pt

A relaxed Er2Pd5Pt crystal (GGA-PBE, Alexandria).

Results
- spin magnetization (μB/atom) = 0.0000
- energy relative to the elements (eV per atom) = -0.9387

Lattice parameters (Å, degrees): 5.7929 11.5915 4.1106 90.00 90.00 90.00
Space group Pbam (No. 55)
Symmetry-distinct sites (fractional):
Er 0.2493 0.1246 0.0000 x4
Pd 0.0000 0.0000 0.5000 x2
Pd 0.0025 0.7498 0.5000 x4
Pd 0.2477 0.3751 0.0000 x4
Pt 0.0000 0.5000 0.5000 x2

***

Record 4
# La2CoAs

A relaxed La2CoAs crystal (GGA-PBE, Alexandria).

Results
- spin magnetization (μB/atom) = 0.2004
- energy relative to the elements (eV per atom) = -0.1774

Lattice parameters (Å, degrees): 4.4406 5.6108 8.3569 90.00 90.00 90.00
Space group Cmm2 (No. 35)
Symmetry-distinct sites (fractional):
La 0.0000 0.0000 0.0000 x2
La 0.0000 0.5000 0.4154 x2
Co 0.0000 0.0000 0.6419 x2
As 0.0000 0.5000 0.7645 x2

***

Record 5
# HgGeBr2

A relaxed HgGeBr2 crystal (GGA-PBE, Alexandria).

Results
- spin magnetization (μB/atom) = 0.0000
- formation energy (no corrections) (eV/atom) = -0.39
- excess energy over the best structure of this formula in the dataset (eV/f.u.) = 0.00

Lattice parameters (Å, degrees): 4.0291 4.0291 34.2230 90.00 90.00 120.00
Space group R-3m (No. 166, hexagonal axes)
Symmetry-distinct sites (fractional):
Hg 0.0000 0.0000 0.0000 x3
Ge 0.0000 0.0000 0.5000 x3
Br 0.0000 0.0000 0.1191 x6

***

Record 6
# YP3Rh5

A relaxed YP3Rh5 crystal (GGA-PBE, Alexandria).

Results
- spin magnetization (μB/atom) = 0.0000
- energy relative to the elements (eV per atom) = -0.8028

Lattice parameters (Å, degrees): 3.8692 12.0678 12.2133 90.00 90.00 90.00
Space group Cmcm (No. 63)
Symmetry-distinct sites (fractional):
Y 0.0000 0.1422 0.2500 x4
P 0.0000 0.1163 0.7500 x4
P 0.0000 0.3897 0.5459 x8
Rh 0.0000 0.0000 0.0000 x4
Rh 0.0000 0.2113 0.5798 x8
Rh 0.0000 0.4412 0.1418 x8

***

Number 1: DFT total energy -4.216 eV/atom. Number 2: DFT total energy -10.632 eV/atom. Number 3: DFT total energy -6.080 eV/atom. Number 4: DFT total energy -5.580 eV/atom. Number 5: DFT total energy -2.461 eV/atom. Number 6: DFT total energy -7.408 eV/atom.